The following is a GGA-PBE calculation of an optimized crystal structure of NpCd3I2O6, from Alexandria via LeMat-Bulk.

The structure in POSCAR format:
```
NpCd3I2O6
1.0
6.061 -3.396 0.000
6.061 3.396 0.000
-0.665 0.000 6.032
Np Cd I O
1 3 2 6
direct
0.000 0.000 0.000
0.000 0.500 0.000
0.500 0.000 0.000
0.500 0.500 0.500
0.281 0.281 0.600
0.719 0.719 0.400
0.166 0.756 0.200
0.186 0.186 0.146
0.244 0.834 0.800
0.756 0.166 0.200
0.814 0.814 0.854
0.834 0.244 0.800
```

DOS(E_F): 7.08 states/eV/cell
ΔE_f (raw): -1430 kJ/mol of formula units